A geometry-optimized CsMgNiTe3 structure. Source: the Open Quantum Materials Database, functional PBE.

Structure (POSCAR):
```
CsMgNiTe3
1.0
-2.479 -8.734 -0.080
3.328 -0.925 -2.180
6.733 2.611 9.168
Te Cs Ni Mg
6 2 2 2
Direct
0.511 0.750 0.632 Te
0.148 0.250 0.379 Te
0.852 0.750 0.621 Te
0.230 0.750 0.027 Te
0.770 0.250 0.973 Te
0.489 0.250 0.368 Te
0.257 0.250 0.764 Cs
0.743 0.750 0.236 Cs
0.338 0.750 0.400 Ni
0.662 0.250 0.600 Ni
0.897 0.750 0.879 Mg
0.103 0.250 0.121 Mg
```

Computed properties:
total energy = -3.475 eV per atom
total magnetic moment = 0.0002 μB/atom
ρ = 4.97 g/cm³